Entry 1:
Density functional theory data (PBE) for crystalline Ac2Pd2Au at its relaxed geometry.

final energy	-0.3817	Ry/atom
ΔH_f (0 K)	-818	meV per atom
spin magnetization	0.00	Bohr magnetons per cell
ΔE to the lowest computed polymorph	18	meV/atom

a b c (Å): 4.0804 8.0127 8.0127
angles (deg): 90.00 90.00 90.00
With the nearest neighbours (Å) after each atom.
Fractional coordinates of all 10 atoms:
Pd1 0.0000 0.3757 0.8757  1 Pd 2.82, 2 Ac 3.02
Pd2 0.0000 0.6243 0.1243  1 Pd 2.82, 2 Ac 3.02
Ac1 0.5000 0.8208 0.3208  6 Pd 3.02-3.20
Au1 0.0000 0.5000 0.5000  4 Pd 3.17
Ac2 0.5000 0.1792 0.6792  6 Pd 3.02-3.20
Ac3 0.5000 0.6792 0.8208  6 Pd 3.02-3.20
Pd3 0.0000 0.8757 0.6243  1 Pd 2.82, 2 Ac 3.02
Au2 0.0000 0.0000 0.0000  4 Pd 3.17
Pd4 0.0000 0.1243 0.3757  1 Pd 2.82, 2 Ac 3.02
Ac4 0.5000 0.3208 0.1792  6 Pd 3.02-3.20

Entry 2:
Density functional theory data (PBE) for crystalline Ac5Pd12Au2 at its relaxed geometry.

final energy	-0.3933	Ry/atom
ΔH_f (0 K)	-645	meV per atom
spin magnetization	0.00	Bohr magnetons per cell

a b c (Å): 7.0150 7.3192 8.9177
angles (deg): 65.77 85.67 90.00
With the nearest neighbours (Å) after each atom.
Fractional coordinates of all 19 atoms:
Ac1 0.4196 0.2395 0.5209  5 Pd 2.86-3.19
Ac2 0.9482 0.3243 0.3515  5 Pd 2.98-3.12, 2 Au 3.31
Pd1 0.7514 0.3354 0.7065  4 Pd 2.76-2.88
Pd2 0.3652 0.4025 0.8015  5 Pd 2.84-3.00, 1 Au 2.92, 2 Ac 2.95-2.98
Au1 0.0000 0.7308 0.0000  8 Pd 2.86-3.13
Pd3 0.9124 0.8750 0.2499  4 Pd 2.78-3.00, 1 Ac 2.86, 2 Au 2.86
Pd4 0.6348 0.5975 0.1985  5 Pd 2.84-3.00, 1 Au 2.92, 2 Ac 2.95-2.98
Pd5 0.6881 0.5511 0.8977  7 Pd 2.77-3.00, 2 Au 2.94
Pd6 0.3119 0.4489 0.1023  7 Pd 2.77-3.00, 2 Au 2.94
Ac3 0.5804 0.7605 0.4791  5 Pd 2.86-3.19
Ac4 0.0518 0.6757 0.6485  5 Pd 2.98-3.12, 2 Au 3.31
Pd7 0.2486 0.6646 0.2935  4 Pd 2.76-2.88
Pd8 0.3652 0.7960 0.8015  5 Pd 2.84-3.00, 1 Au 2.92, 2 Ac 2.95-2.98
Pd9 0.7514 0.9581 0.7065  4 Pd 2.76-2.88
Au2 0.0000 0.2692 0.0000  8 Pd 2.86-3.13
Pd10 0.0876 0.1250 0.7501  4 Pd 2.78-3.00, 1 Ac 2.86, 2 Au 2.86
Pd11 0.2486 0.0419 0.2935  4 Pd 2.76-2.88
Pd12 0.6348 0.2040 0.1985  5 Pd 2.84-3.00, 1 Au 2.92, 2 Ac 2.95-2.98
Ac5 0.5000 0.0000 0.0000  8 Pd 2.95-3.16

Entry 3:
Density functional theory data (PBE) for crystalline Ac3Pd3Au2 at its relaxed geometry.

final energy	-0.3762	Ry/atom
ΔH_f (0 K)	-812	meV per atom
spin magnetization	0.00	Bohr magnetons per cell
ΔE to the lowest computed polymorph	0	meV/atom

a b c (Å): 4.5816 6.2280 15.9682
angles (deg): 90.00 90.00 111.58
With the nearest neighbours (Å) after each atom.
Fractional coordinates of all 16 atoms:
Ac1 0.1104 0.2208 0.5942  7 Pd 3.22-3.48, 4 Au 3.27-3.50
Au1 0.1900 0.3801 0.1150  3 Pd 2.76-2.85
Au2 0.8100 0.6199 0.8850  3 Pd 2.76-2.85
Au3 0.8100 0.6199 0.6150  3 Pd 2.76-2.85
Au4 0.1900 0.3801 0.3850  3 Pd 2.76-2.85
Pd1 0.5962 0.1925 0.4532  1 Pd 2.68, 2 Au 2.76
Ac2 0.8896 0.7792 0.0942  7 Pd 3.22-3.48, 4 Au 3.27-3.50
Ac3 0.8896 0.7792 0.4058  7 Pd 3.22-3.48, 4 Au 3.27-3.50
Pd2 0.4038 0.8075 0.9532  1 Pd 2.68, 2 Au 2.76
Pd3 0.6488 0.2975 0.7500  2 Au 2.85, 1 Ac 3.06
Ac4 0.6150 0.2300 0.2500  3 Pd 3.06-3.25, 4 Au 3.26
Pd4 0.5962 0.1925 0.0468  1 Pd 2.68, 2 Au 2.76
Pd5 0.3512 0.7025 0.2500  2 Au 2.85, 1 Ac 3.06
Pd6 0.4038 0.8075 0.5468  1 Pd 2.68, 2 Au 2.76
Ac5 0.3850 0.7700 0.7500  3 Pd 3.06-3.25, 4 Au 3.26
Ac6 0.1104 0.2208 0.9058  7 Pd 3.22-3.48, 4 Au 3.27-3.50

Entry 4:
Density functional theory data (PBE) for crystalline AcPdAu3 at its relaxed geometry.

final energy	-0.3246	Ry/atom
ΔH_f (0 K)	-590	meV per atom
spin magnetization	0.00	Bohr magnetons per cell
ΔE to the lowest computed polymorph	0	meV/atom

a b c (Å): 6.1276 8.5259 9.1195
angles (deg): 108.77 90.00 90.00
With the nearest neighbours (Å) after each atom.
Fractional coordinates of all 20 atoms:
Au1 0.9359 0.8252 0.6240  3 Pd 2.80-3.05, 2 Au 2.85-2.95
Au2 0.5572 0.6892 0.3829  2 Pd 2.77-2.99, 4 Au 2.79-3.09
Au3 0.7969 0.4910 0.5646  5 Au 2.78-3.09
Pd1 0.2904 0.9887 0.5457  1 Pd 2.73, 5 Au 2.77-3.05
Ac1 0.5689 0.2369 0.2506  3 Pd 3.08-3.20, 9 Au 3.26-3.40
Pd2 0.2096 0.9887 0.0457  1 Pd 2.73, 5 Au 2.77-3.05
Au4 0.4359 0.1748 0.8760  3 Pd 2.80-3.05, 2 Au 2.85-2.95
Au5 0.9428 0.6892 0.8829  2 Pd 2.77-2.99, 4 Au 2.79-3.09
Pd3 0.7096 0.0113 0.4543  1 Pd 2.73, 5 Au 2.77-3.05
Ac2 0.4311 0.7631 0.7494  3 Pd 3.08-3.20, 9 Au 3.26-3.40
Au6 0.0572 0.3108 0.1171  2 Pd 2.77-2.99, 4 Au 2.79-3.09
Pd4 0.7904 0.0113 0.9543  1 Pd 2.73, 5 Au 2.77-3.05
Ac3 0.0689 0.7631 0.2494  3 Pd 3.08-3.20, 9 Au 3.26-3.40
Au7 0.5641 0.8252 0.1240  3 Pd 2.80-3.05, 2 Au 2.85-2.95
Au8 0.7031 0.4910 0.0646  5 Au 2.78-3.09
Au9 0.2969 0.5090 0.9354  5 Au 2.78-3.09
Au10 0.4428 0.3108 0.6171  2 Pd 2.77-2.99, 4 Au 2.79-3.09
Au11 0.0641 0.1748 0.3760  3 Pd 2.80-3.05, 2 Au 2.85-2.95
Ac4 0.9311 0.2369 0.7506  3 Pd 3.08-3.20, 9 Au 3.26-3.40
Au12 0.2031 0.5090 0.4354  5 Au 2.78-3.09

Entry 5:
Density functional theory data (PBE) for crystalline Ac4Pd2Au5 at its relaxed geometry.

final energy	-0.3487	Ry/atom
ΔH_f (0 K)	-817	meV per atom
spin magnetization	0.00	Bohr magnetons per cell

a b c (Å): 4.1774 7.7665 9.1710
angles (deg): 90.09 90.00 90.00
With the nearest neighbours (Å) after each atom.
Fractional coordinates of all 11 atoms:
Ac1 0.5000 0.2242 0.8585  2 Pd 3.16, 8 Au 3.23-3.53
Ac2 0.5000 0.2488 0.3868  4 Pd 3.22-3.41, 6 Au 3.28-3.45
Pd1 0.0000 0.0664 0.6365  1 Pd 2.71, 2 Au 2.77-2.81
Pd2 0.0000 0.9336 0.3635  1 Pd 2.71, 2 Au 2.77-2.81
Au1 0.0000 0.1412 0.1179  1 Pd 2.77, 2 Au 2.99-3.08
Au2 0.0000 0.8588 0.8821  1 Pd 2.77, 2 Au 2.99-3.08
Au3 0.0000 0.5000 0.0000  4 Au 2.99-3.30, 4 Ac 3.26
Au4 0.0000 0.5726 0.3542  1 Pd 2.81, 1 Au 2.90
Au5 0.0000 0.4274 0.6458  1 Pd 2.81, 1 Au 2.90
Ac3 0.5000 0.7758 0.1415  2 Pd 3.16, 8 Au 3.23-3.53
Ac4 0.5000 0.7512 0.6132  4 Pd 3.22-3.41, 6 Au 3.28-3.45

Entry 6:
Density functional theory data (PBE) for crystalline Ac5Pd2Au2 at its relaxed geometry.

final energy	-0.3562	Ry/atom
ΔH_f (0 K)	-681	meV per atom
spin magnetization	0.00	Bohr magnetons per cell

a b c (Å): 8.4721 8.1643 9.1671
angles (deg): 116.44 90.00 90.00
With the nearest neighbours (Å) after each atom.
Fractional coordinates of all 18 atoms:
Pd1 0.3735 0.1286 0.0000  1 Pd 3.00, 8 Ac 3.22-3.35
Ac1 0.1677 0.4669 0.2696  3 Au 3.27-3.34, 3 Pd 3.27-3.35
Pd2 0.1265 0.6286 0.0000  1 Pd 3.00, 8 Ac 3.22-3.35
Ac2 0.6677 0.0331 0.7304  3 Au 3.27-3.34, 3 Pd 3.27-3.35
Ac3 0.1677 0.1973 0.7304  3 Au 3.27-3.34, 3 Pd 3.27-3.35
Ac4 0.6677 0.3027 0.2696  3 Au 3.27-3.34, 3 Pd 3.27-3.35
Pd3 0.8735 0.3714 0.0000  1 Pd 3.00, 8 Ac 3.22-3.35
Pd4 0.6265 0.8714 0.0000  1 Pd 3.00, 8 Ac 3.22-3.35
Ac5 0.8323 0.8027 0.2696  3 Au 3.27-3.34, 3 Pd 3.27-3.35
Ac6 0.5000 0.5000 0.0000  4 Pd 3.22-3.33, 2 Au 3.36
Ac7 0.0000 0.0000 0.0000  4 Pd 3.22-3.33, 2 Au 3.36
Au1 0.0000 0.7951 0.5901  7 Ac 3.27-3.36
Ac8 0.8323 0.5331 0.7304  3 Au 3.27-3.34, 3 Pd 3.27-3.35
Ac9 0.3323 0.9669 0.2696  3 Au 3.27-3.34, 3 Pd 3.27-3.35
Ac10 0.3323 0.6973 0.7304  3 Au 3.27-3.34, 3 Pd 3.27-3.35
Au2 0.0000 0.2049 0.4099  7 Ac 3.27-3.36
Au3 0.5000 0.7049 0.4099  7 Ac 3.27-3.36
Au4 0.5000 0.2951 0.5901  7 Ac 3.27-3.36

Entry 7:
Density functional theory data (PBE) for crystalline Ac4Pd3Au at its relaxed geometry.

final energy	-0.3838	Ry/atom
ΔH_f (0 K)	-810	meV per atom
spin magnetization	0.00	Bohr magnetons per cell
ΔE to the lowest computed polymorph	0	meV/atom

a b c (Å): 4.1452 4.8502 11.5880
angles (deg): 90.00 90.00 90.00
With the nearest neighbours (Å) after each atom.
Fractional coordinates of all 8 atoms:
Ac1 0.0000 0.0000 0.1365  3 Pd 3.20-3.33, 4 Au 3.24
Ac2 0.0000 0.5000 0.8603  5 Pd 3.16-3.25, 2 Au 3.33
Au1 0.5000 0.5000 0.0854  2 Pd 3.15, 7 Ac 3.24-3.33
Pd1 0.0000 0.0000 0.4130  2 Pd 3.16, 7 Ac 3.20-3.30
Ac3 0.5000 0.5000 0.3707  6 Pd 3.23-3.26, 1 Au 3.31
Pd2 0.0000 0.5000 0.5875  2 Pd 3.16, 7 Ac 3.16-3.26
Pd3 0.5000 0.0000 0.9119  2 Au 3.15, 7 Ac 3.21-3.33
Ac4 0.5000 0.0000 0.6346  7 Pd 3.21-3.30

Entry 8:
Density functional theory data (PBE) for crystalline Ac2Pd3Au at its relaxed geometry.

final energy	-0.3903	Ry/atom
ΔH_f (0 K)	-798	meV per atom
spin magnetization	0.00	Bohr magnetons per cell
ΔE to the lowest computed polymorph	0	meV/atom

a b c (Å): 6.1676 6.1676 8.9820
angles (deg): 106.78 106.78 99.17
With the nearest neighbours (Å) after each atom.
Fractional coordinates of all 12 atoms:
Pd1 0.1650 0.6684 0.8334  2 Pd 2.67-2.68, 1 Au 2.72
Ac1 0.2500 0.7500 0.5000  8 Pd 3.35-3.38, 4 Au 3.36
Pd2 0.1647 0.1647 0.3295  2 Pd 2.67, 1 Au 2.71
Pd3 0.3316 0.8350 0.1666  2 Pd 2.67-2.68, 1 Au 2.72
Au1 0.3334 0.3334 0.6668  3 Pd 2.71-2.72
Au2 0.6666 0.6666 0.3332  3 Pd 2.71-2.72
Pd4 0.8353 0.8353 0.6705  2 Pd 2.67, 1 Au 2.71
Ac2 0.2480 0.2480 0.0000  10 Pd 3.31-3.38, 2 Au 3.35
Ac3 0.7520 0.7520 0.0000  10 Pd 3.31-3.38, 2 Au 3.35
Pd5 0.8350 0.3316 0.1666  2 Pd 2.67-2.68, 1 Au 2.72
Pd6 0.6684 0.1650 0.8334  2 Pd 2.67-2.68, 1 Au 2.72
Ac4 0.7500 0.2500 0.5000  8 Pd 3.35-3.38, 4 Au 3.36

Entry 9:
Density functional theory data (PBE) for crystalline AcPd4Au at its relaxed geometry.

final energy	-0.3855	Ry/atom
ΔH_f (0 K)	-552	meV per atom
spin magnetization	0.00	Bohr magnetons per cell
ΔE to the lowest computed polymorph	0	meV/atom

a b c (Å): 5.4885 5.4885 5.4885
angles (deg): 60.00 60.00 60.00
With the nearest neighbours (Å) after each atom.
Fractional coordinates of all 6 atoms:
Pd1 0.6255 0.6255 0.6255  6 Pd 2.73-2.76
Ac1 0.2500 0.2500 0.2500  12 Pd 3.22, 4 Au 3.36
Au1 0.0000 0.0000 0.0000  12 Pd 3.22, 4 Ac 3.36
Pd2 0.1235 0.6255 0.6255  6 Pd 2.73-2.76
Pd3 0.6255 0.1235 0.6255  6 Pd 2.73-2.76
Pd4 0.6255 0.6255 0.1235  6 Pd 2.73-2.76

Entry 10:
Density functional theory data (PBE) for crystalline Ac2PdAu2 at its relaxed geometry.

final energy	-0.3558	Ry/atom
ΔH_f (0 K)	-847	meV per atom
spin magnetization	0.00	Bohr magnetons per cell

a b c (Å): 4.3416 6.2122 11.2513
angles (deg): 88.18 78.88 69.55
With the nearest neighbours (Å) after each atom.
Fractional coordinates of all 10 atoms:
Pd1 0.4080 0.8785 0.3055  3 Au 2.77-2.83
Au1 0.3518 0.1843 0.1121  1 Pd 2.83
Ac1 0.3098 0.7374 0.6429  2 Pd 3.15, 7 Au 3.29-3.48
Ac2 0.6902 0.2626 0.3571  2 Pd 3.15, 7 Au 3.29-3.48
Ac3 0.0768 0.7339 0.1124  2 Pd 3.13, 6 Au 3.20-3.42
Au2 0.9472 0.6855 0.4201  2 Pd 2.77, 1 Au 2.84
Pd2 0.5920 0.1215 0.6945  3 Au 2.77-2.83
Au3 0.6482 0.8157 0.8879  1 Pd 2.83
Au4 0.0528 0.3145 0.5799  2 Pd 2.77, 1 Au 2.84
Ac4 0.9232 0.2661 0.8876  2 Pd 3.13, 6 Au 3.20-3.42